First-principles (PBE) data for crystalline Tl2In2Sb at its relaxed geometry, as listed in Alexandria.

As for the raw total energy: -2.72 eV per atom. The crystal system is tetragonal.

Cell and atoms, written as CIF:
```
data_Tl2In2Sb
_chemical_formula_sum 'Tl4 In4 Sb2'
_cell_length_a 4.198
_cell_length_b 4.198
_cell_length_c 17.712
_cell_angle_alpha 90.00
_cell_angle_beta 90.00
_cell_angle_gamma 90.00
_symmetry_space_group_name_H-M 'I 4/m m m'
_symmetry_Int_Tables_number 139
_symmetry_space_group_name_Hall '-I 4 2'
loop_
_atom_site_label
_atom_site_fract_x
_atom_site_fract_y
_atom_site_fract_z
Tl1 0.000 0.000 0.092
In1 0.000 0.500 0.250
Sb1 0.000 0.000 0.500
```



First-principles (PBE) data for crystalline TlInSb2 at its relaxed geometry, as listed in Alexandria.

As for the raw total energy: -3.28 eV per atom. The crystal system is monoclinic.

Cell and atoms, written as CIF:
```
data_TlInSb2
_chemical_formula_sum 'Tl1 In1 Sb2'
_cell_length_a 3.209
_cell_length_b 5.479
_cell_length_c 6.667
_cell_angle_alpha 90.00
_cell_angle_beta 90.11
_cell_angle_gamma 90.00
_symmetry_space_group_name_H-M 'P 1 m 1'
_symmetry_Int_Tables_number 6
loop_
_symmetry_equiv_pos_as_xyz
'x,y,z'
'x,-y,z'
loop_
_atom_site_label
_atom_site_fract_x
_atom_site_fract_y
_atom_site_fract_z
Tl1 0.000 0.000 0.000
In1 0.501 0.500 0.777
Sb1 0.500 0.500 0.282
Sb2 0.502 0.000 0.502
```



First-principles (PBE) data for crystalline Tl2InSb at its relaxed geometry, as listed in Alexandria.

As for the raw total energy: -2.86 eV per atom. The crystal system is orthorhombic.

Cell and atoms, written as CIF:
```
data_Tl2InSb
_chemical_formula_sum 'Tl4 In2 Sb2'
_cell_length_a 4.725
_cell_length_b 4.917
_cell_length_c 10.265
_cell_angle_alpha 90.00
_cell_angle_beta 90.00
_cell_angle_gamma 90.00
_symmetry_space_group_name_H-M 'C m m m'
_symmetry_Int_Tables_number 65
_symmetry_space_group_name_Hall '-C 2 2'
loop_
_atom_site_label
_atom_site_fract_x
_atom_site_fract_y
_atom_site_fract_z
Tl1 0.000 0.000 0.245
In1 0.000 0.500 0.500
Sb1 0.000 0.500 0.000
```



no.,formation energy (no corrections) (eV per atom),excess energy over the best structure of this formula in the dataset (eV/atom)
1,0.15,0.108
2,0.05,0.046
3,0.04,0.040